Density functional theory data (PBE-GGA) for a relaxed structure of BC.

Structure (POSCAR):
```
BC
1.0
2.6079 0.0000 0.0000
0.0000 9.0113 0.0000
0.0000 0.0000 3.6178
B C
6 6
direct
0.0000 0.0298 0.0000
0.0000 0.3041 0.6579
0.0000 0.8725 0.7165
0.5000 0.1275 0.2165
0.5000 0.6958 0.1579
0.5000 0.9702 0.5000
0.0000 0.4313 0.9555
0.0000 0.5712 0.6954
0.0000 0.7224 0.9363
0.5000 0.2776 0.4363
0.5000 0.4288 0.1954
0.5000 0.5687 0.4555
```

Results
space-group type = Pmn2_1
crystal system = orthorhombic
raw total energy = -89.8 eV/cell
total magnetic moment = 0.0 μB per formula unit
E above lowest polymorph = 0.318 eV/atom
energy of formation = 0.469 eV per atom